No. 1
The following is a DFT calculation (PBE-GGA) of an optimized crystal structure of EuCdAgBi.

## Properties
Energy of formation from the pure elements   -288.9 meV per atom

Unit cell a=7.514 b=7.514 c=7.514 alpha=90.00 beta=90.00 gamma=90.00
Space group F-43m (No. 216)
One atom of each set of equivalent atoms:
Eu 0.000 0.000 0.000
Cd 0.000 0.000 0.500
Ag 0.250 0.250 0.750
Bi 0.250 0.250 0.250

---

No. 2
The following is a DFT calculation (PBE-GGA) of an optimized crystal structure of Li2TaZnW.

## Properties
Energy of formation from the pure elements   1865.0 meV per atom

Unit cell a=4.377 b=4.377 c=4.733 alpha=90.00 beta=90.00 gamma=90.00
Space group P4/mmm (No. 123)
One atom of each set of equivalent atoms:
Li 0.000 0.500 0.000
Ta 0.000 0.000 0.500
Zn 0.500 0.500 0.500
W 0.500 0.500 0.000

---

No. 3
The following is a DFT calculation (PBE-GGA) of an optimized crystal structure of Ba3LiHo3Te8.

## Properties
Energy relative to the elements, uncorrected   -1.43 eV/atom

Unit cell a=9.0780 b=9.0780 c=23.5889 alpha=90.00 beta=90.00 gamma=120.00
Space group R-3m (No. 166, hexagonal axes)
One atom of each set of equivalent atoms:
Ba 0.0000 0.5000 0.0000
Li 0.0000 0.0000 0.5000
Ho 0.0000 0.5000 0.5000
Te 0.0000 0.0000 0.2385
Te 0.0078 0.5039 0.7623

---

No. 4
The following is a DFT calculation (PBE-GGA) of an optimized crystal structure of ScInH3.

## Properties
Distance to the lowest polymorph of the same formula   602 meV/atom

Unit cell a=3.926 b=3.926 c=3.926 alpha=90.00 beta=90.00 gamma=90.00
Space group Pm-3m (No. 221)
One atom of each set of equivalent atoms:
Sc 0.000 0.000 0.000
In 0.500 0.500 0.500
H 0.000 0.500 0.500

---

No. 5
The following is a DFT calculation (PBE-GGA) of an optimized crystal structure of Sm3GeRh8.

## Properties
Energy of formation from the pure elements   -543.6 meV per atom

Unit cell a=5.3639 b=5.3639 c=26.1453 alpha=90.00 beta=90.00 gamma=120.00
Space group R3m (No. 160, hexagonal axes)
One atom of each set of equivalent atoms:
Sm 0.0000 0.0000 0.0000
Sm 0.0000 0.0000 0.1306
Sm 0.0000 0.0000 0.5193
Ge 0.0000 0.0000 0.6527
Rh 0.0000 0.0000 0.3163
Rh 0.0000 0.0000 0.8178
Rh 0.0018 0.5009 0.0677
Rh 0.1670 0.3339 0.9015

---

No. 6
The following is a DFT calculation (PBE-GGA) of an optimized crystal structure of Cd2OsRu.

## Properties
Distance to the lowest polymorph of the same formula   396 meV/atom
Energy of formation from the pure elements   568.1 meV per atom

Unit cell a=9.559 b=2.822 c=5.028 alpha=90.00 beta=99.24 gamma=90.00
Space group C2/m (No. 12)
One atom of each set of equivalent atoms:
Cd 0.250 0.000 0.249
Os 0.000 0.000 0.500
Ru 0.000 0.500 0.000

---

| no. | theoretical density (kg/m3) | raw total energy (eV per atom) | total moment (μB/f.u.) |
| --- | --- | --- | --- |
| 1 | 9100 | -4.769 | 6.99 |
| 2 | 8132 | -4.116 | 1.06 |
| 3 | 5724 | -4.536 | 0.00 |
| 4 | 4466 | -3.373 | 0.00 |
| 5 | 10300 | -7.009 | 0.00 |
| 6 | 12807 | -5.016 | 0.68 |